A relaxed Rb4Sm3TiO8 crystal, computed with PBE.

Structure (extended XYZ):
```
16
Lattice="7.0254 0.0000 0.0000 0.0000 7.6808 0.4464 -3.5127 -3.5019 4.9750" Properties=species:S:1:pos:R:3 pbc="T T T"
Rb 3.5127 0.0000 0.0000
Rb 1.7563 -1.7510 2.4875
Rb 0.0000 0.0000 0.0000
Rb -1.7563 -1.7510 2.4875
Sm 3.5127 3.8404 0.2232
Sm 1.7563 2.0895 2.7107
Sm -1.7563 2.0895 2.7107
Ti 0.0000 3.8404 0.2232
O -1.8798 1.7974 5.0722
O 0.0000 3.6715 2.4092
O 0.0000 0.5293 2.8526
O 1.8798 1.7974 5.0722
O 1.6329 2.3815 0.3492
O 3.5127 3.6496 2.5689
O 3.5127 0.5074 3.0123
O 5.3925 2.3815 0.3492
```

* V: 279 Å³/f.u.
* formation energy (no corrections): -2.45 eV/atom


A relaxed YTmTl2 crystal, computed with PBE.

Structure (extended XYZ):
```
4
Lattice="3.7271 0.0000 0.0000 1.8636 3.2278 0.0000 1.8636 1.0759 9.5920" Properties=species:S:1:pos:R:3 pbc="T T T"
Y 3.7271 2.1518 4.7960
Tl 5.5907 3.2278 7.2193
Tl 1.8636 1.0759 2.3727
Tm 0.0000 0.0000 0.0000
```

* V: 115 Å³/f.u.
* DFT formation energy: -266 meV per atom


A relaxed TiP crystal, computed with PBE.

Structure (extended XYZ):
```
16
Lattice="-1.3529 -4.5139 -0.4804 4.3689 -0.9389 -3.4823 5.0286 -2.2429 6.9137" Properties=species:S:1:pos:R:3 pbc="T T T"
Ti 2.1549 -3.4937 -2.0556
Ti 8.4342 -3.4703 3.3933
Ti 2.2269 -2.8337 2.4652
Ti 3.2733 -5.5937 2.0991
Ti 5.1056 -3.8138 3.9473
Ti 0.4166 -4.5401 0.6248
Ti 6.5742 -5.2442 1.5671
Ti 3.9929 -1.7932 -0.2372
P 1.8961 -1.0805 -1.3365
P 4.2843 -5.0774 6.1424
P 5.2483 -5.8406 -0.4558
P 4.6606 -3.3928 1.5520
P 3.3899 -2.1572 4.5696
P 2.7902 -4.0016 0.2361
P 5.2358 -6.2444 3.3791
P 4.6734 -2.9881 -2.2829
```

* V: 30 Å³/f.u.
* DFT formation energy: -987 meV per atom


A relaxed UInPb2 crystal, computed with PBE.

Structure (extended XYZ):
```
4
Lattice="-3.4326 2.8740 -0.7958 -3.1068 -3.1485 2.0297 0.7318 2.0760 4.3405" Properties=species:S:1:pos:R:3 pbc="T T T"
Pb 0.3659 1.0380 2.1702
Pb -1.5534 -1.5743 1.0148
U -1.7163 1.4370 -0.3979
In -2.9038 0.9007 2.7871
```

* V: 108 Å³/f.u.
* DFT formation energy: 95 meV per atom


A relaxed Ac6Ir2Pt crystal, computed with PBE.

Structure (extended XYZ):
```
9
Lattice="7.0485 0.0000 0.0000 0.0000 6.6278 -3.8266 0.0000 0.0000 7.6531" Properties=species:S:1:pos:R:3 pbc="T T T"
Ac 1.9468 4.3752 5.1271
Ac 1.9468 2.2526 1.3006
Ac 1.9468 0.0000 5.0520
Ac 5.1017 2.2526 -1.3005
Ac 5.1017 4.3752 2.5260
Ac 5.1017 6.6278 -1.2255
Ir 3.5243 2.2093 3.8266
Ir 3.5242 4.4185 0.0000
Pt 3.5242 0.0000 0.0000
```

* V: 358 Å³/f.u.
* DFT formation energy: -674 meV per atom


A relaxed K2RbSiN crystal, computed with PBE.

Structure (extended XYZ):
```
5
Lattice="6.5961 0.0000 0.0000 0.0000 4.4914 0.0000 0.0000 0.0000 6.5961" Properties=species:S:1:pos:R:3 pbc="T T T"
K 0.0000 0.0000 3.2980
K 3.2980 0.0000 0.0000
Si 3.2980 2.2457 3.2980
Rb 0.0000 0.0000 0.0000
N 0.0000 2.2457 0.0000
```

* V: 195 Å³/f.u.
* formation energy (no corrections): 1.25 eV/atom


A relaxed Pa2NiP4Ir3 crystal, computed with PBE.

Structure (extended XYZ):
```
10
Lattice="4.1880 0.0000 0.0000 0.0000 4.1880 0.0000 0.0000 0.0000 9.2208" Properties=species:S:1:pos:R:3 pbc="T T T"
Pa 2.0940 0.0000 2.3242
Pa 0.0000 2.0940 6.8965
Ni 2.0940 2.0940 4.6104
P 2.0940 2.0940 0.0000
P 0.0000 0.0000 0.0000
P 2.0940 0.0000 5.7906
P 0.0000 2.0940 3.4301
Ir 0.0000 0.0000 4.6104
Ir 2.0940 0.0000 8.1587
Ir 0.0000 2.0940 1.0621
```

* V: 162 Å³/f.u.
* DFT formation energy: -900 meV per atom


A relaxed Pm2Pr4Tm crystal, computed with PBE.

Structure (extended XYZ):
```
14
Lattice="-10.4230 -3.1818 6.5651 8.3590 -2.3998 -9.2861 4.4648 -0.3845 5.2714" Properties=species:S:1:pos:R:3 pbc="T T T"
Pm -1.9548 -2.9088 3.6733
Pm -8.5695 -3.2037 5.3581
Pm 9.0946 -2.7534 -5.0299
Pm 6.3173 -2.8496 1.2118
Pr -2.0881 -3.0352 7.6261
Pr 5.7735 -2.4226 -3.5285
Pr 8.7347 -2.8439 -1.4413
Pr -4.9711 -3.1294 5.6060
Pr 3.5397 -0.7028 2.0439
Pr -0.2547 -3.2579 -1.1763
Pr 1.2747 -3.4794 2.0527
Pr -0.7762 -0.5973 1.1665
Tm 3.4594 -3.1307 -0.8237
Tm -3.4688 -3.1339 0.5036
```

* V: 245 Å³/f.u.
* DFT formation energy: 61 meV per atom